(1)
# MgReNO2 (PBE, optimized geometry)
# **Volume**: 11.9 Å³ per atom
# **VASP energy**: -7.351 eV per atom
# **E_form (uncorrected)**: -0.895 eV per atom
data_MgReNO2
_chemical_formula_sum 'Mg1 Re1 N1 O2'
_symmetry_space_group_name_H-M 'P 1'
_symmetry_Int_Tables_number 1
_cell_length_a 3.8890
_cell_length_b 3.8890
_cell_length_c 3.9245
_cell_angle_alpha 90.00
_cell_angle_beta 90.00
_cell_angle_gamma 90.00
loop_
_symmetry_equiv_pos_as_xyz
'x,y,z'
loop_
_atom_site_label
_atom_site_fract_x
_atom_site_fract_y
_atom_site_fract_z
Re1 0.0000 0.0000 0.0000
Mg1 0.5000 0.5000 0.5000
O1 0.0000 0.5000 0.0000
O2 0.5000 0.0000 0.0000
N1 0.0000 0.0000 0.5000

=====

(2)
# MgRhN2O (PBE, optimized geometry)
# **Volume**: 11.4 Å³ per atom
# **VASP energy**: -4.789 eV per atom
# **E_form (uncorrected)**: 1.322 eV per atom
data_MgRhN2O
_chemical_formula_sum 'Mg1 Rh1 N2 O1'
_symmetry_space_group_name_H-M 'P 1'
_symmetry_Int_Tables_number 1
_cell_length_a 3.8836
_cell_length_b 3.8836
_cell_length_c 3.7653
_cell_angle_alpha 90.00
_cell_angle_beta 90.00
_cell_angle_gamma 90.00
loop_
_symmetry_equiv_pos_as_xyz
'x,y,z'
loop_
_atom_site_label
_atom_site_fract_x
_atom_site_fract_y
_atom_site_fract_z
Mg1 0.0000 0.0000 0.0000
Rh1 0.5000 0.5000 0.5000
O1 0.0000 0.0000 0.5000
N1 0.0000 0.5000 0.0000
N2 0.5000 0.0000 0.0000

=====

(3)
# MgRhN2O (PBE, optimized geometry)
# **Volume**: 12.2 Å³ per atom
# **VASP energy**: -5.694 eV per atom
# **E_form (uncorrected)**: 0.417 eV per atom
data_MgRhN2O
_chemical_formula_sum 'Mg1 Rh1 N2 O1'
_symmetry_space_group_name_H-M 'P 1'
_symmetry_Int_Tables_number 1
_cell_length_a 3.7519
_cell_length_b 3.7519
_cell_length_c 4.3490
_cell_angle_alpha 90.00
_cell_angle_beta 90.00
_cell_angle_gamma 90.00
loop_
_symmetry_equiv_pos_as_xyz
'x,y,z'
loop_
_atom_site_label
_atom_site_fract_x
_atom_site_fract_y
_atom_site_fract_z
Mg1 0.5000 0.5000 0.5000
Rh1 0.0000 0.0000 0.0000
O1 0.0000 0.0000 0.5000
N1 0.0000 0.5000 0.0000
N2 0.5000 0.0000 0.0000

=====

(4)
# MgRuN2O (PBE, optimized geometry)
# **Volume**: 12.0 Å³ per atom
# **VASP energy**: -6.389 eV per atom
# **E_form (uncorrected)**: 0.107 eV per atom
data_MgRuN2O
_chemical_formula_sum 'Mg1 Ru1 N2 O1'
_symmetry_space_group_name_H-M 'P 1'
_symmetry_Int_Tables_number 1
_cell_length_a 3.7359
_cell_length_b 3.7359
_cell_length_c 4.2966
_cell_angle_alpha 90.00
_cell_angle_beta 90.00
_cell_angle_gamma 90.00
loop_
_symmetry_equiv_pos_as_xyz
'x,y,z'
loop_
_atom_site_label
_atom_site_fract_x
_atom_site_fract_y
_atom_site_fract_z
Ru1 0.0000 0.0000 0.0000
Mg1 0.5000 0.5000 0.5000
O1 0.0000 0.0000 0.5000
N1 0.0000 0.5000 0.0000
N2 0.5000 0.0000 0.0000

=====

(5)
# MgRuN2O (PBE, optimized geometry)
# **Volume**: 11.0 Å³ per atom
# **VASP energy**: -5.112 eV per atom
# **E_form (uncorrected)**: 1.384 eV per atom
data_MgRuN2O
_chemical_formula_sum 'Mg1 Ru1 N2 O1'
_symmetry_space_group_name_H-M 'P 1'
_symmetry_Int_Tables_number 1
_cell_length_a 3.8558
_cell_length_b 3.8558
_cell_length_c 3.7102
_cell_angle_alpha 90.00
_cell_angle_beta 90.00
_cell_angle_gamma 90.00
loop_
_symmetry_equiv_pos_as_xyz
'x,y,z'
loop_
_atom_site_label
_atom_site_fract_x
_atom_site_fract_y
_atom_site_fract_z
Ru1 0.5000 0.5000 0.5000
Mg1 0.0000 0.0000 0.0000
O1 0.0000 0.0000 0.5000
N1 0.0000 0.5000 0.0000
N2 0.5000 0.0000 0.0000

=====

(6)
# MgS2NO (PBE, optimized geometry)
# **Volume**: 13.4 Å³ per atom
# **VASP energy**: -3.702 eV per atom
# **E_form (uncorrected)**: 0.924 eV per atom
data_MgS2NO
_chemical_formula_sum 'Mg1 S2 N1 O1'
_symmetry_space_group_name_H-M 'P 1'
_symmetry_Int_Tables_number 1
_cell_length_a 4.1267
_cell_length_b 4.1267
_cell_length_c 3.9313
_cell_angle_alpha 90.00
_cell_angle_beta 90.00
_cell_angle_gamma 90.00
loop_
_symmetry_equiv_pos_as_xyz
'x,y,z'
loop_
_atom_site_label
_atom_site_fract_x
_atom_site_fract_y
_atom_site_fract_z
S1 0.0000 0.5000 0.0000
S2 0.5000 0.0000 0.0000
Mg1 0.5000 0.5000 0.5000
O1 0.0000 0.0000 0.0000
N1 0.0000 0.0000 0.5000

=====

(7)
# MgS2NO (PBE, optimized geometry)
# **Volume**: 19.0 Å³ per atom
# **VASP energy**: -3.151 eV per atom
# **E_form (uncorrected)**: 1.476 eV per atom
data_MgS2NO
_chemical_formula_sum 'Mg1 S2 N1 O1'
_symmetry_space_group_name_H-M 'P 1'
_symmetry_Int_Tables_number 1
_cell_length_a 4.8288
_cell_length_b 4.8288
_cell_length_c 4.0671
_cell_angle_alpha 90.00
_cell_angle_beta 90.00
_cell_angle_gamma 90.00
loop_
_symmetry_equiv_pos_as_xyz
'x,y,z'
loop_
_atom_site_label
_atom_site_fract_x
_atom_site_fract_y
_atom_site_fract_z
S1 0.0000 0.5000 0.0000
S2 0.5000 0.0000 0.0000
Mg1 0.0000 0.0000 0.0000
O1 0.5000 0.5000 0.5000
N1 0.0000 0.0000 0.5000

=====

(8)
# MgSbNO2 (PBE, optimized geometry)
# **Volume**: 12.3 Å³ per atom
# **VASP energy**: -4.954 eV per atom
# **E_form (uncorrected)**: -0.162 eV per atom
data_MgSbNO2
_chemical_formula_sum 'Mg1 Sb1 N1 O2'
_symmetry_space_group_name_H-M 'P 1'
_symmetry_Int_Tables_number 1
_cell_length_a 3.8641
_cell_length_b 3.8641
_cell_length_c 4.1195
_cell_angle_alpha 90.00
_cell_angle_beta 90.00
_cell_angle_gamma 90.00
loop_
_symmetry_equiv_pos_as_xyz
'x,y,z'
loop_
_atom_site_label
_atom_site_fract_x
_atom_site_fract_y
_atom_site_fract_z
Sb1 0.5000 0.5000 0.5000
Mg1 0.0000 0.0000 0.0000
O1 0.0000 0.5000 0.0000
O2 0.5000 0.0000 0.0000
N1 0.0000 0.0000 0.5000

=====

(9)
# MgSbN2O (PBE, optimized geometry)
# **Volume**: 12.9 Å³ per atom
# **VASP energy**: -5.240 eV per atom
# **E_form (uncorrected)**: 0.225 eV per atom
data_MgSbN2O
_chemical_formula_sum 'Mg1 Sb1 N2 O1'
_symmetry_space_group_name_H-M 'P 1'
_symmetry_Int_Tables_number 1
_cell_length_a 4.0140
_cell_length_b 4.0140
_cell_length_c 3.9932
_cell_angle_alpha 90.00
_cell_angle_beta 90.00
_cell_angle_gamma 90.00
loop_
_symmetry_equiv_pos_as_xyz
'x,y,z'
loop_
_atom_site_label
_atom_site_fract_x
_atom_site_fract_y
_atom_site_fract_z
Sb1 0.0000 0.0000 0.0000
Mg1 0.5000 0.5000 0.5000
O1 0.0000 0.0000 0.5000
N1 0.0000 0.5000 0.0000
N2 0.5000 0.0000 0.0000

=====

(10)
# MgSb2NO (PBE, optimized geometry)
# **Volume**: 18.5 Å³ per atom
# **VASP energy**: -4.217 eV per atom
# **E_form (uncorrected)**: 0.408 eV per atom
data_MgSb2NO
_chemical_formula_sum 'Mg1 Sb2 N1 O1'
_symmetry_space_group_name_H-M 'P 1'
_symmetry_Int_Tables_number 1
_cell_length_a 4.8860
_cell_length_b 3.8699
_cell_length_c 4.8860
_cell_angle_alpha 90.00
_cell_angle_beta 90.00
_cell_angle_gamma 90.00
loop_
_symmetry_equiv_pos_as_xyz
'x,y,z'
loop_
_atom_site_label
_atom_site_fract_x
_atom_site_fract_y
_atom_site_fract_z
Sb1 0.0000 0.0000 0.5000
Sb2 0.5000 0.0000 0.0000
Mg1 0.0000 0.5000 0.0000
O1 0.5000 0.5000 0.5000
N1 0.0000 0.0000 0.0000

=====

(11)
# MgSbNO2 (PBE, optimized geometry)
# **Volume**: 12.6 Å³ per atom
# **VASP energy**: -5.425 eV per atom
# **E_form (uncorrected)**: -0.634 eV per atom
data_MgSbNO2
_chemical_formula_sum 'Mg1 Sb1 N1 O2'
_symmetry_space_group_name_H-M 'P 1'
_symmetry_Int_Tables_number 1
_cell_length_a 3.9519
_cell_length_b 3.9519
_cell_length_c 4.0209
_cell_angle_alpha 90.00
_cell_angle_beta 90.00
_cell_angle_gamma 90.00
loop_
_symmetry_equiv_pos_as_xyz
'x,y,z'
loop_
_atom_site_label
_atom_site_fract_x
_atom_site_fract_y
_atom_site_fract_z
Sb1 0.0000 0.0000 0.0000
Mg1 0.5000 0.5000 0.5000
O1 0.0000 0.5000 0.0000
O2 0.5000 0.0000 0.0000
N1 0.0000 0.0000 0.5000

=====

(12)
# MgSbN2O (PBE, optimized geometry)
# **Volume**: 12.8 Å³ per atom
# **VASP energy**: -4.770 eV per atom
# **E_form (uncorrected)**: 0.695 eV per atom
data_MgSbN2O
_chemical_formula_sum 'Mg1 Sb1 N2 O1'
_symmetry_space_group_name_H-M 'P 1'
_symmetry_Int_Tables_number 1
_cell_length_a 4.0984
_cell_length_b 4.0984
_cell_length_c 3.8149
_cell_angle_alpha 90.00
_cell_angle_beta 90.00
_cell_angle_gamma 90.00
loop_
_symmetry_equiv_pos_as_xyz
'x,y,z'
loop_
_atom_site_label
_atom_site_fract_x
_atom_site_fract_y
_atom_site_fract_z
Sb1 0.5000 0.5000 0.5000
Mg1 0.0000 0.0000 0.0000
O1 0.0000 0.0000 0.5000
N1 0.0000 0.5000 0.0000
N2 0.5000 0.0000 0.0000

=====

(13)
# MgScN2O (PBE, optimized geometry)
# **Volume**: 11.6 Å³ per atom
# **VASP energy**: -6.006 eV per atom
# **E_form (uncorrected)**: -0.099 eV per atom
data_MgScN2O
_chemical_formula_sum 'Mg1 Sc1 N2 O1'
_symmetry_space_group_name_H-M 'P 1'
_symmetry_Int_Tables_number 1
_cell_length_a 3.9189
_cell_length_b 3.9189
_cell_length_c 3.7721
_cell_angle_alpha 90.00
_cell_angle_beta 90.00
_cell_angle_gamma 90.00
loop_
_symmetry_equiv_pos_as_xyz
'x,y,z'
loop_
_atom_site_label
_atom_site_fract_x
_atom_site_fract_y
_atom_site_fract_z
Sc1 0.5000 0.5000 0.5000
Mg1 0.0000 0.0000 0.0000
O1 0.0000 0.0000 0.5000
N1 0.0000 0.5000 0.0000
N2 0.5000 0.0000 0.0000

=====

(14)
# Mg2Sc6NO (PBE, optimized geometry)
# **Volume**: 18.4 Å³ per atom
# **VASP energy**: -6.482 eV per atom
# **E_form (uncorrected)**: -1.036 eV per atom
data_Mg2Sc6NO
_chemical_formula_sum 'Mg2 Sc6 N1 O1'
_symmetry_space_group_name_H-M 'P 1'
_symmetry_Int_Tables_number 1
_cell_length_a 6.3835
_cell_length_b 6.3835
_cell_length_c 6.3845
_cell_angle_alpha 60.00
_cell_angle_beta 60.00
_cell_angle_gamma 90.00
loop_
_symmetry_equiv_pos_as_xyz
'x,y,z'
loop_
_atom_site_label
_atom_site_fract_x
_atom_site_fract_y
_atom_site_fract_z
Mg1 0.7500 0.2500 0.5000
Mg2 0.2500 0.7500 0.5000
Sc1 0.2474 0.2474 0.5052
Sc2 0.7526 0.7525 0.0000
Sc3 0.2475 0.7526 0.0000
Sc4 0.7525 0.2474 0.0000
Sc5 0.2474 0.2475 0.0000
Sc6 0.7526 0.7526 0.4948
N1 0.0000 0.0000 0.0000
O1 0.5000 0.5000 0.0000